[1]
A geometry-optimized ZrFeN structure. Source: the Alexandria database, functional PBE.

Geometry as CIF:
```
data_ZrFeN
_chemical_formula_sum 'Zr2 Fe2 N2'
_cell_length_a 5.002
_cell_length_b 5.002
_cell_length_c 3.082
_cell_angle_alpha 90.00
_cell_angle_beta 90.00
_cell_angle_gamma 101.20
_symmetry_space_group_name_H-M 'P 1'
_symmetry_Int_Tables_number 1
_symmetry_space_group_name_Hall 'P 1'
loop_
_atom_site_label
_atom_site_type_symbol
_atom_site_fract_x
_atom_site_fract_y
_atom_site_fract_z
Zr1 Zr 0.210 0.790 0.000
Zr2 Zr 0.790 0.210 0.000
Fe1 Fe 0.313 0.313 0.500
Fe2 Fe 0.687 0.687 0.500
N1 N 0.000 0.000 0.500
N2 N 0.500 0.500 0.000
```

## Properties
total magnetization = 1.38 μB per formula unit
formation energy (no corrections) = -203 kJ/mol of formula units



[2]
A geometry-optimized K2ReGeN4 structure. Source: the Alexandria database, functional PBE.

Geometry as CIF:
```
data_K2ReGeN4
_chemical_formula_sum 'K2 Re1 Ge1 N4'
_cell_length_a 5.777
_cell_length_b 5.777
_cell_length_c 5.777
_cell_angle_alpha 120.18
_cell_angle_beta 120.18
_cell_angle_gamma 89.68
_symmetry_space_group_name_H-M 'P 1'
_symmetry_Int_Tables_number 1
_symmetry_space_group_name_Hall 'P 1'
loop_
_atom_site_label
_atom_site_type_symbol
_atom_site_fract_x
_atom_site_fract_y
_atom_site_fract_z
K1 K 0.000 0.000 0.000
K2 K 0.750 0.250 0.500
Re1 Re 0.250 0.750 0.500
Ge1 Ge 0.500 0.500 0.000
N1 N 0.260 0.632 0.141
N2 N 0.368 0.509 0.628
N3 N 0.491 0.119 0.859
N4 N 0.881 0.740 0.372
```

## Properties
total magnetization = 0.00 μB per formula unit
formation energy (no corrections) = -117 kJ/mol of formula units



[3]
A geometry-optimized Ca2GaHg5 structure. Source: the Alexandria database, functional PBE.

Geometry as CIF:
```
data_Ca2GaHg5
_chemical_formula_sum 'Ca2 Ga1 Hg5'
_cell_length_a 6.563
_cell_length_b 6.540
_cell_length_c 6.612
_cell_angle_alpha 59.86
_cell_angle_beta 59.53
_cell_angle_gamma 60.61
_symmetry_space_group_name_H-M 'P 1'
_symmetry_Int_Tables_number 1
_symmetry_space_group_name_Hall 'P 1'
loop_
_atom_site_label
_atom_site_type_symbol
_atom_site_fract_x
_atom_site_fract_y
_atom_site_fract_z
Ca1 Ca 0.000 0.000 0.500
Ca2 Ca 0.500 0.500 0.000
Ga1 Ga 0.498 0.498 0.502
Hg1 Hg 0.001 0.001 0.999
Hg2 Hg 0.500 0.999 0.001
Hg3 Hg 0.500 0.999 0.500
Hg4 Hg 0.999 0.500 0.001
Hg5 Hg 0.999 0.500 0.500
```

## Properties
total magnetization = 0.00 μB per formula unit
energy of formation from the pure elements = -32.3 kJ per mole of atoms



[4]
A geometry-optimized EuGaHgBi structure. Source: the Alexandria database, functional PBE.

Geometry as CIF:
```
data_EuGaHgBi
_chemical_formula_sum 'Eu1 Ga1 Hg1 Bi1'
_cell_length_a 5.463
_cell_length_b 5.463
_cell_length_c 5.463
_cell_angle_alpha 60.00
_cell_angle_beta 60.00
_cell_angle_gamma 60.00
_symmetry_space_group_name_H-M 'P 1'
_symmetry_Int_Tables_number 1
_symmetry_space_group_name_Hall 'P 1'
loop_
_atom_site_label
_atom_site_type_symbol
_atom_site_fract_x
_atom_site_fract_y
_atom_site_fract_z
Eu1 Eu 0.000 0.000 0.000
Ga1 Ga 0.500 0.500 0.500
Hg1 Hg 0.250 0.250 0.250
Bi1 Bi 0.750 0.750 0.750
```

## Properties
total magnetization = 7.06 μB per formula unit
energy of formation from the pure elements = -33.3 kJ per mole of atoms



[5]
A geometry-optimized TbCdF6 structure. Source: the Alexandria database, functional PBE.

Geometry as CIF:
```
data_TbCdF6
_chemical_formula_sum 'Tb1 Cd1 F6'
_cell_length_a 5.963
_cell_length_b 5.963
_cell_length_c 7.028
_cell_angle_alpha 126.02
_cell_angle_beta 126.02
_cell_angle_gamma 38.61
_symmetry_space_group_name_H-M 'P 1'
_symmetry_Int_Tables_number 1
_symmetry_space_group_name_Hall 'P 1'
loop_
_atom_site_label
_atom_site_type_symbol
_atom_site_fract_x
_atom_site_fract_y
_atom_site_fract_z
Tb1 Tb 0.000 0.000 0.000
Cd1 Cd 0.500 0.500 0.500
F1 F 0.054 0.054 0.730
F2 F 0.251 0.251 0.246
F3 F 0.435 0.435 0.778
F4 F 0.565 0.565 0.222
F5 F 0.749 0.749 0.754
F6 F 0.946 0.946 0.270
```

## Properties
total magnetization = 1.09 μB per formula unit
formation energy (no corrections) = -2150 kJ/mol of formula units



[6]
A geometry-optimized CrPbS2 structure. Source: the Alexandria database, functional PBE.

Geometry as CIF:
```
data_CrPbS2
_chemical_formula_sum 'Cr1 Pb1 S2'
_cell_length_a 3.256
_cell_length_b 3.256
_cell_length_c 8.739
_cell_angle_alpha 100.16
_cell_angle_beta 90.34
_cell_angle_gamma 119.98
_symmetry_space_group_name_H-M 'P 1'
_symmetry_Int_Tables_number 1
_symmetry_space_group_name_Hall 'P 1'
loop_
_atom_site_label
_atom_site_type_symbol
_atom_site_fract_x
_atom_site_fract_y
_atom_site_fract_z
Cr1 Cr 0.000 0.000 0.000
Pb1 Pb 0.497 0.016 0.501
S1 S 0.613 0.230 0.839
S2 S 0.722 0.438 0.164
```

## Properties
total magnetization = 0.67 μB per formula unit
formation energy (no corrections) = -161 kJ/mol of formula units



[7]
A geometry-optimized Pm5Ru2Pt structure. Source: the Alexandria database, functional PBE.

Geometry as CIF:
```
data_Pm5Ru2Pt
_chemical_formula_sum 'Pm10 Ru4 Pt2'
_cell_length_a 8.771
_cell_length_b 8.771
_cell_length_c 8.771
_cell_angle_alpha 128.21
_cell_angle_beta 128.21
_cell_angle_gamma 76.28
_symmetry_space_group_name_H-M 'P 1'
_symmetry_Int_Tables_number 1
_symmetry_space_group_name_Hall 'P 1'
loop_
_atom_site_label
_atom_site_type_symbol
_atom_site_fract_x
_atom_site_fract_y
_atom_site_fract_z
Pm1 Pm 0.000 0.000 0.000
Pm2 Pm 0.030 0.530 0.839
Pm3 Pm 0.191 0.030 0.500
Pm4 Pm 0.309 0.809 0.839
Pm5 Pm 0.470 0.309 0.500
Pm6 Pm 0.500 0.500 0.000
Pm7 Pm 0.530 0.691 0.500
Pm8 Pm 0.691 0.191 0.161
Pm9 Pm 0.809 0.970 0.500
Pm10 Pm 0.970 0.470 0.161
Ru1 Ru 0.132 0.368 0.500
Ru2 Ru 0.368 0.868 0.236
Ru3 Ru 0.632 0.132 0.764
Ru4 Ru 0.868 0.632 0.500
Pt1 Pt 0.250 0.250 0.000
Pt2 Pt 0.750 0.750 0.000
```

## Properties
total magnetization = 0.00 μB per formula unit
energy of formation from the pure elements = -45.0 kJ per mole of atoms



[8]
A geometry-optimized MgIn2Rh structure. Source: the Alexandria database, functional PBE.

Geometry as CIF:
```
data_MgIn2Rh
_chemical_formula_sum 'Mg1 In2 Rh1'
_cell_length_a 5.488
_cell_length_b 5.488
_cell_length_c 5.488
_cell_angle_alpha 49.02
_cell_angle_beta 49.02
_cell_angle_gamma 49.02
_symmetry_space_group_name_H-M 'P 1'
_symmetry_Int_Tables_number 1
_symmetry_space_group_name_Hall 'P 1'
loop_
_atom_site_label
_atom_site_type_symbol
_atom_site_fract_x
_atom_site_fract_y
_atom_site_fract_z
Mg1 Mg 0.000 0.000 0.000
In1 In 0.563 0.563 0.563
In2 In 0.781 0.781 0.781
Rh1 Rh 0.186 0.186 0.186
```

## Properties
total magnetization = 0.00 μB per formula unit
energy of formation from the pure elements = -23.3 kJ per mole of atoms



[9]
A geometry-optimized TmTl3Ge2Te6 structure. Source: the Alexandria database, functional PBE.

Geometry as CIF:
```
data_TmTl3Ge2Te6
_chemical_formula_sum 'Tm1 Tl3 Ge2 Te6'
_cell_length_a 7.629
_cell_length_b 7.629
_cell_length_c 8.019
_cell_angle_alpha 99.12
_cell_angle_beta 99.12
_cell_angle_gamma 119.77
_symmetry_space_group_name_H-M 'P 1'
_symmetry_Int_Tables_number 1
_symmetry_space_group_name_Hall 'P 1'
loop_
_atom_site_label
_atom_site_type_symbol
_atom_site_fract_x
_atom_site_fract_y
_atom_site_fract_z
Tm1 Tm 0.000 0.000 0.000
Tl1 Tl 0.164 0.836 0.500
Tl2 Tl 0.500 0.500 0.500
Tl3 Tl 0.836 0.164 0.500
Ge1 Ge 0.333 0.667 0.000
Ge2 Ge 0.667 0.333 0.000
Te1 Te 0.070 0.408 0.212
Te2 Te 0.266 0.266 0.788
Te3 Te 0.408 0.070 0.212
Te4 Te 0.592 0.930 0.788
Te5 Te 0.734 0.734 0.212
Te6 Te 0.930 0.592 0.788
```

## Properties
total magnetization = 0.00 μB per formula unit
formation energy (no corrections) = -461 kJ/mol of formula units



[10]
A geometry-optimized NdVZn2 structure. Source: the Alexandria database, functional PBE.

Geometry as CIF:
```
data_NdVZn2
_chemical_formula_sum 'Nd1 V1 Zn2'
_cell_length_a 9.684
_cell_length_b 9.684
_cell_length_c 9.684
_cell_angle_alpha 18.33
_cell_angle_beta 18.33
_cell_angle_gamma 18.33
_symmetry_space_group_name_H-M 'P 1'
_symmetry_Int_Tables_number 1
_symmetry_space_group_name_Hall 'P 1'
loop_
_atom_site_label
_atom_site_type_symbol
_atom_site_fract_x
_atom_site_fract_y
_atom_site_fract_z
Nd1 Nd 0.000 0.000 0.000
V1 V 0.500 0.500 0.500
Zn1 Zn 0.238 0.238 0.238
Zn2 Zn 0.762 0.762 0.762
```

## Properties
total magnetization = 1.75 μB per formula unit
energy of formation from the pure elements = 31.4 kJ per mole of atoms



[11]
A geometry-optimized Li2InCl structure. Source: the Alexandria database, functional PBE.

Geometry as CIF:
```
data_Li2InCl
_chemical_formula_sum 'Li2 In1 Cl1'
_cell_length_a 5.513
_cell_length_b 5.513
_cell_length_c 5.513
_cell_angle_alpha 133.19
_cell_angle_beta 133.19
_cell_angle_gamma 68.36
_symmetry_space_group_name_H-M 'P 1'
_symmetry_Int_Tables_number 1
_symmetry_space_group_name_Hall 'P 1'
loop_
_atom_site_label
_atom_site_type_symbol
_atom_site_fract_x
_atom_site_fract_y
_atom_site_fract_z
Li1 Li 0.250 0.750 0.500
Li2 Li 0.750 0.250 0.500
In1 In 0.000 0.000 0.000
Cl1 Cl 0.500 0.500 0.000
```

## Properties
total magnetization = 0.00 μB per formula unit
formation energy (no corrections) = -179 kJ/mol of formula units



[12]
A geometry-optimized Tl4Pb5 structure. Source: the Alexandria database, functional PBE.

Geometry as CIF:
```
data_Tl4Pb5
_chemical_formula_sum 'Tl4 Pb5'
_cell_length_a 7.858
_cell_length_b 7.858
_cell_length_c 7.858
_cell_angle_alpha 96.03
_cell_angle_beta 96.03
_cell_angle_gamma 142.17
_symmetry_space_group_name_H-M 'P 1'
_symmetry_Int_Tables_number 1
_symmetry_space_group_name_Hall 'P 1'
loop_
_atom_site_label
_atom_site_type_symbol
_atom_site_fract_x
_atom_site_fract_y
_atom_site_fract_z
Tl1 Tl 0.166 0.166 0.333
Tl2 Tl 0.166 0.834 0.000
Tl3 Tl 0.834 0.166 0.000
Tl4 Tl 0.834 0.834 0.667
Pb1 Pb 0.164 0.500 0.664
Pb2 Pb 0.500 0.164 0.664
Pb3 Pb 0.500 0.500 0.000
Pb4 Pb 0.500 0.836 0.336
Pb5 Pb 0.836 0.500 0.336
```

## Properties
total magnetization = 0.00 μB per formula unit
energy of formation from the pure elements = -0.2 kJ per mole of atoms



- total magnetization of number 10 (NdVZn2)?
  1.75 μB per formula unit



What did the third record say?
A geometry-optimized Ca2GaHg5 structure. Source: the Alexandria database, functional PBE.

Geometry as CIF:
```
data_Ca2GaHg5
_chemical_formula_sum 'Ca2 Ga1 Hg5'
_cell_length_a 6.563
_cell_length_b 6.540
_cell_length_c 6.612
_cell_angle_alpha 59.86
_cell_angle_beta 59.53
_cell_angle_gamma 60.61
_symmetry_space_group_name_H-M 'P 1'
_symmetry_Int_Tables_number 1
_symmetry_space_group_name_Hall 'P 1'
loop_
_atom_site_label
_atom_site_type_symbol
_atom_site_fract_x
_atom_site_fract_y
_atom_site_fract_z
Ca1 Ca 0.000 0.000 0.500
Ca2 Ca 0.500 0.500 0.000
Ga1 Ga 0.498 0.498 0.502
Hg1 Hg 0.001 0.001 0.999
Hg2 Hg 0.500 0.999 0.001
Hg3 Hg 0.500 0.999 0.500
Hg4 Hg 0.999 0.500 0.001
Hg5 Hg 0.999 0.500 0.500
```

## Properties
total magnetization = 0.00 μB per formula unit
energy of formation from the pure elements = -32.3 kJ per mole of atoms